A geometry-optimized Ca2Ac4Sm3 structure, computed with GGA-PBE.

## Properties
For the density, the calculation gives 6620 kg/m3. The total energy comes out at -3.78 eV per atom. The calculation puts the density of states at the Fermi level at 13.6 states/eV per cell. The space-group type is C2/m, No. 12.

Unit cell a=5.5415 b=8.3976 c=15.4915 alpha=143.15 beta=90.00 gamma=109.27
Fractional coordinates of all 9 atoms:
Sm  0.0000  0.0000  0.0000
Ac  0.8913  0.7826  0.6709
Sm  0.5664  0.1328  0.6788
Ac  0.3338  0.6676  0.9990
Ac  0.1087  0.2174  0.3291
Ac  0.6662  0.3324  0.0010
Sm  0.4336  0.8672  0.3212
Ca  0.7863  0.5726  0.3394
Ca  0.2137  0.4274  0.6606

---

A geometry-optimized Ca4Ac3Sm structure, computed with GGA-PBE.

## Properties
For the density, the calculation gives 4880 kg/m3. The total energy comes out at -3.10 eV per atom. The calculation puts the density of states at the Fermi level at 20.9 states/eV per cell. The space-group type is Pmmn, No. 59.

Unit cell a=5.5400 b=11.0091 c=11.0653 alpha=90.00 beta=90.00 gamma=90.00
Fractional coordinates of all 16 atoms:
Sm  0.5644  0.6152  0.5000
Sm  0.0644  0.3848  0.0000
Ca  0.0644  0.1260  0.2465
Ca  0.0644  0.8776  0.0000
Ac  0.0644  0.6187  0.2516
Ac  0.5644  0.6188  0.0000
Ac  0.5644  0.3813  0.7516
Ca  0.5644  0.1224  0.5000
Ca  0.5644  0.8740  0.7465
Ca  0.0644  0.1260  0.7535
Ca  0.5644  0.1290  0.0000
Ac  0.0644  0.3812  0.5000
Ac  0.5644  0.3813  0.2484
Ca  0.0644  0.8710  0.5000
Ca  0.5644  0.8740  0.2535
Ac  0.0644  0.6187  0.7484

---

A geometry-optimized Ca3Ac12Sm structure, computed with GGA-PBE.

## Properties
For the density, the calculation gives 7154 kg/m3. The total energy comes out at -3.73 eV per atom. The calculation puts the density of states at the Fermi level at 22.5 states/eV per cell. The space-group type is P4/mmm, No. 123.

Unit cell a=5.5822 b=5.5822 c=22.3057 alpha=90.00 beta=90.00 gamma=90.00
Fractional coordinates of all 16 atoms:
Sm  0.0000  0.0000  0.0000
Ca  0.0000  0.0000  0.5000
Ac  0.5000  0.0000  0.3741
Ac  0.5000  0.0000  0.1213
Ac  0.5000  0.5000  0.5000
Ac  0.0000  0.5000  0.6259
Ca  0.0000  0.0000  0.7516
Ac  0.0000  0.5000  0.1213
Ac  0.5000  0.0000  0.8787
Ac  0.0000  0.5000  0.3741
Ca  0.0000  0.0000  0.2484
Ac  0.5000  0.0000  0.6259
Ac  0.5000  0.5000  0.2485
Ac  0.5000  0.5000  0.7515
Ac  0.5000  0.5000  0.0000
Ac  0.0000  0.5000  0.8787

---

Calculated volume, 40.112 42.180 43.442 Å³/atom (same order as the records).
Calculated magnetic moment, 0.00 0.00 0.00 μB per formula unit (same order as the records).